Density functional theory data (PBE) for crystalline MgNiCl3 at its relaxed geometry.

Properties
- Theoretical density: 3.1 Mg/m³
- Polymorph energy (0 for the lowest one): 0 meV/atom
- Uncorrected energy: -3.171 eV/atom
- Crystal system: cubic

a = 4.654 Å, b = 4.654 Å, c = 4.654 Å
α = 90.00°, β = 90.00°, γ = 90.00°
Element x y z (fractional)
1 Mg 0.000 0.000 0.000
2 Ni 0.500 0.500 0.500
3 Cl 0.000 0.500 0.500
4 Cl 0.500 0.000 0.500
5 Cl 0.500 0.500 0.000

Density functional theory data (PBE) for crystalline MgNiCl2 at its relaxed geometry.

Properties
- Theoretical density: 2.6 Mg/m³
- Polymorph energy (0 for the lowest one): 223 meV/atom
- Uncorrected energy: -3.343 eV/atom
- Crystal system: orthorhombic

a = 3.966 Å, b = 6.465 Å, c = 7.530 Å
α = 90.00°, β = 90.00°, γ = 90.00°
Element x y z (fractional)
1 Mg 0.000 0.000 0.000
2 Mg 0.500 0.500 0.000
3 Ni 0.000 0.500 0.753
4 Ni 0.500 0.000 0.753
5 Cl 0.000 0.000 0.666
6 Cl 0.000 0.500 0.193
7 Cl 0.500 0.000 0.193
8 Cl 0.500 0.500 0.666

Density functional theory data (PBE) for crystalline MgNiCl2 at its relaxed geometry.

Properties
- Theoretical density: 3.5 Mg/m³
- Polymorph energy (0 for the lowest one): 442 meV/atom
- Uncorrected energy: -3.124 eV/atom
- Crystal system: orthorhombic

a = 3.255 Å, b = 3.847 Å, c = 5.756 Å
α = 90.00°, β = 90.00°, γ = 90.00°
Element x y z (fractional)
1 Mg 0.000 0.000 0.000
2 Ni 0.500 0.000 0.500
3 Cl 0.000 0.500 0.500
4 Cl 0.500 0.500 0.000

Number 1: magnetization 0.000 μB/atom. Number 2: magnetization 0.000 μB/atom. Number 3: magnetization 0.000 μB/atom.